(1)
Here is Ca3Ag7Pd2 after structural relaxation from Alexandria. Energies are from PBE.

Results
N(E_F) = 13.22 states/eV/cell
ΔE_f = -0.286 eV per atom
Mass density = 7.12 g/cm3

Cell and atoms, written as CIF:
```
data_Ca3Ag7Pd2
_space_group_name_H-M_alt 'R -3 m'
_space_group_IT_number 166
_space_group_name_Hall '-R 3 2"'
_cell_length_a 5.5871
_cell_length_b 5.5871
_cell_length_c 28.1571
_cell_angle_alpha 90.00
_cell_angle_beta 90.00
_cell_angle_gamma 120.00
loop_
_atom_site_label
_atom_site_fract_x
_atom_site_fract_y
_atom_site_fract_z
Ca1 0.0000 0.0000 0.0000
Ca2 0.0000 0.0000 0.1400
Ag1 0.0000 0.0000 0.5000
Ag2 0.0022 0.5011 0.9177
Pd1 0.0000 0.0000 0.3332
```

***

(2)
Here is Ca4AgPd2Pt after structural relaxation from Alexandria. Energies are from PBE.

Results
N(E_F) = 4.33 states/eV/cell
ΔE_f = -0.660 eV per atom
Mass density = 6.20 g/cm3

Cell and atoms, written as CIF:
```
data_Ca4AgPd2Pt
_space_group_name_H-M_alt 'R -3 m'
_space_group_IT_number 166
_space_group_name_Hall '-R 3 2"'
_cell_length_a 5.0397
_cell_length_b 5.0397
_cell_length_c 24.6961
_cell_angle_alpha 90.00
_cell_angle_beta 90.00
_cell_angle_gamma 120.00
loop_
_atom_site_label
_atom_site_fract_x
_atom_site_fract_y
_atom_site_fract_z
Ca1 0.0000 0.0000 0.1205
Ca2 0.0000 0.0000 0.3707
Ag1 0.0000 0.0000 0.5000
Pd1 0.0000 0.0000 0.2464
Pt1 0.0000 0.0000 0.0000
```

***

(3)
Here is Ca2AgPd5Pt2 after structural relaxation from Alexandria. Energies are from PBE.

Results
N(E_F) = 18.65 states/eV/cell
ΔE_f = -0.417 eV per atom
Mass density = 9.89 g/cm3

Cell and atoms, written as CIF:
```
data_Ca2AgPd5Pt2
_space_group_name_H-M_alt 'P 4/m b m'
_space_group_IT_number 127
_space_group_name_Hall '-P 4 2ab'
_cell_length_a 9.5048
_cell_length_b 9.5048
_cell_length_c 4.1291
_cell_angle_alpha 90.00
_cell_angle_beta 90.00
_cell_angle_gamma 90.00
loop_
_atom_site_label
_atom_site_fract_x
_atom_site_fract_y
_atom_site_fract_z
Ca1 0.1712 0.3288 0.0000
Ag1 0.0000 0.0000 0.0000
Pd1 0.0000 0.5000 0.5000
Pd2 0.0668 0.7996 0.5000
Pt1 0.1263 0.6263 0.0000
```

***

(4)
Here is Ca4AgPdPt2 after structural relaxation from Alexandria. Energies are from PBE.

Results
N(E_F) = 7.54 states/eV/cell
ΔE_f = -0.721 eV per atom
Mass density = 7.11 g/cm3

Cell and atoms, written as CIF:
```
data_Ca4AgPdPt2
_space_group_name_H-M_alt 'R -3 m'
_space_group_IT_number 166
_space_group_name_Hall '-R 3 2"'
_cell_length_a 5.0165
_cell_length_b 5.0165
_cell_length_c 24.5796
_cell_angle_alpha 90.00
_cell_angle_beta 90.00
_cell_angle_gamma 120.00
loop_
_atom_site_label
_atom_site_fract_x
_atom_site_fract_y
_atom_site_fract_z
Ca1 0.0000 0.0000 0.1221
Ca2 0.0000 0.0000 0.3723
Ag1 0.0000 0.0000 0.5000
Pd1 0.0000 0.0000 0.0000
Pt1 0.0000 0.0000 0.2483
```

***

(5)
Here is CaAg2PdRh after structural relaxation from Alexandria. Energies are from PBE.

Results
N(E_F) = 4.04 states/eV/cell
ΔE_f = 0.679 eV per atom
Mass density = 6.13 g/cm3

Cell and atoms, written as CIF:
```
data_CaAg2PdRh
_space_group_name_H-M_alt 'P 4/m m m'
_space_group_IT_number 123
_space_group_name_Hall '-P 4 2'
_cell_length_a 5.0160
_cell_length_b 5.0160
_cell_length_c 5.0065
_cell_angle_alpha 90.00
_cell_angle_beta 90.00
_cell_angle_gamma 90.00
loop_
_atom_site_label
_atom_site_fract_x
_atom_site_fract_y
_atom_site_fract_z
Ca1 0.0000 0.0000 0.0000
Ag1 0.0000 0.5000 0.5000
Pd1 0.0000 0.0000 0.5000
Rh1 0.5000 0.5000 0.0000
```

***

(6)
Here is Ca2AgSb4Pd3 after structural relaxation from Alexandria. Energies are from PBE.

Results
N(E_F) = 4.03 states/eV/cell
Mass density = 7.00 g/cm3
Formation energy from raw total energies = -620.8 meV/atom

Cell and atoms, written as CIF:
```
data_Ca2AgSb4Pd3
_space_group_name_H-M_alt 'P -4 m 2'
_space_group_IT_number 115
_space_group_name_Hall 'P -4 -2'
_cell_length_a 4.5532
_cell_length_b 4.5532
_cell_length_c 11.3744
_cell_angle_alpha 90.00
_cell_angle_beta 90.00
_cell_angle_gamma 90.00
loop_
_atom_site_label
_atom_site_fract_x
_atom_site_fract_y
_atom_site_fract_z
Ca1 0.0000 0.5000 0.2376
Ag1 0.5000 0.5000 0.0000
Sb1 0.0000 0.0000 0.5000
Sb2 0.0000 0.5000 0.8612
Sb3 0.5000 0.5000 0.5000
Pd1 0.0000 0.0000 0.0000
Pd2 0.0000 0.5000 0.6317
```

***

(7)
Here is CaAgSbPd after structural relaxation from Alexandria. Energies are from PBE.

Results
N(E_F) = 5.84 states/eV/cell
Mass density = 7.44 g/cm3
Formation energy from raw total energies = -510.9 meV/atom

Cell and atoms, written as CIF:
```
data_CaAgSbPd
_space_group_name_H-M_alt 'F -4 3 m'
_space_group_IT_number 216
_space_group_name_Hall 'F -4 2 3'
_cell_length_a 6.9496
_cell_length_b 6.9496
_cell_length_c 6.9496
_cell_angle_alpha 90.00
_cell_angle_beta 90.00
_cell_angle_gamma 90.00
loop_
_atom_site_label
_atom_site_fract_x
_atom_site_fract_y
_atom_site_fract_z
Ca1 0.0000 0.0000 0.0000
Ag1 0.2500 0.2500 0.7500
Sb1 0.0000 0.0000 0.5000
Pd1 0.2500 0.2500 0.2500
```

***

(8)
Here is Ca2AgSb3Pd4 after structural relaxation from Alexandria. Energies are from PBE.

Results
N(E_F) = 5.48 states/eV/cell
Mass density = 7.29 g/cm3
Formation energy from raw total energies = -657.7 meV/atom

Cell and atoms, written as CIF:
```
data_Ca2AgSb3Pd4
_space_group_name_H-M_alt 'P -4 m 2'
_space_group_IT_number 115
_space_group_name_Hall 'P -4 -2'
_cell_length_a 4.5158
_cell_length_b 4.5158
_cell_length_c 10.9396
_cell_angle_alpha 90.00
_cell_angle_beta 90.00
_cell_angle_gamma 90.00
loop_
_atom_site_label
_atom_site_fract_x
_atom_site_fract_y
_atom_site_fract_z
Ca1 0.0000 0.5000 0.2486
Ag1 0.0000 0.0000 0.5000
Sb1 0.0000 0.5000 0.8691
Sb2 0.5000 0.5000 0.5000
Pd1 0.0000 0.0000 0.0000
Pd2 0.0000 0.5000 0.6357
Pd3 0.5000 0.5000 0.0000
```

***

(9)
Here is CaScAgPd after structural relaxation from Alexandria. Energies are from PBE.

Results
N(E_F) = 7.48 states/eV/cell
ΔE_f = -0.470 eV per atom
Mass density = 5.91 g/cm3

Cell and atoms, written as CIF:
```
data_CaScAgPd
_space_group_name_H-M_alt 'F -4 3 m'
_space_group_IT_number 216
_space_group_name_Hall 'F -4 2 3'
_cell_length_a 6.9545
_cell_length_b 6.9545
_cell_length_c 6.9545
_cell_angle_alpha 90.00
_cell_angle_beta 90.00
_cell_angle_gamma 90.00
loop_
_atom_site_label
_atom_site_fract_x
_atom_site_fract_y
_atom_site_fract_z
Ca1 0.0000 0.0000 0.0000
Sc1 0.0000 0.0000 0.5000
Ag1 0.2500 0.2500 0.7500
Pd1 0.2500 0.2500 0.2500
```

***

(10)
Here is Ca2AgSn4Pd3 after structural relaxation from Alexandria. Energies are from PBE.

Results
N(E_F) = 3.28 states/eV/cell
ΔE_f = -0.574 eV per atom
Mass density = 7.04 g/cm3

Cell and atoms, written as CIF:
```
data_Ca2AgSn4Pd3
_space_group_name_H-M_alt 'P -4 m 2'
_space_group_IT_number 115
_space_group_name_Hall 'P -4 -2'
_cell_length_a 4.5415
_cell_length_b 4.5415
_cell_length_c 11.2369
_cell_angle_alpha 90.00
_cell_angle_beta 90.00
_cell_angle_gamma 90.00
loop_
_atom_site_label
_atom_site_fract_x
_atom_site_fract_y
_atom_site_fract_z
Ca1 0.0000 0.5000 0.2460
Ag1 0.5000 0.5000 0.0000
Sn1 0.0000 0.0000 0.5000
Sn2 0.0000 0.5000 0.8662
Sn3 0.5000 0.5000 0.5000
Pd1 0.0000 0.0000 0.0000
Pd2 0.0000 0.5000 0.6328
```

***

(11)
Here is CaAgSnPd after structural relaxation from Alexandria. Energies are from PBE.

Results
N(E_F) = 9.18 states/eV/cell
ΔE_f = -0.503 eV per atom
Mass density = 7.49 g/cm3

Cell and atoms, written as CIF:
```
data_CaAgSnPd
_space_group_name_H-M_alt 'F -4 3 m'
_space_group_IT_number 216
_space_group_name_Hall 'F -4 2 3'
_cell_length_a 6.9165
_cell_length_b 6.9165
_cell_length_c 6.9165
_cell_angle_alpha 90.00
_cell_angle_beta 90.00
_cell_angle_gamma 90.00
loop_
_atom_site_label
_atom_site_fract_x
_atom_site_fract_y
_atom_site_fract_z
Ca1 0.0000 0.0000 0.0000
Ag1 0.2500 0.2500 0.7500
Sn1 0.0000 0.0000 0.5000
Pd1 0.2500 0.2500 0.2500
```

***

(12)
Here is SrCaAgPd after structural relaxation from Alexandria. Energies are from PBE.

Results
N(E_F) = 12.40 states/eV/cell
ΔE_f = -0.432 eV per atom
Mass density = 5.45 g/cm3

Cell and atoms, written as CIF:
```
data_SrCaAgPd
_space_group_name_H-M_alt 'F -4 3 m'
_space_group_IT_number 216
_space_group_name_Hall 'F -4 2 3'
_cell_length_a 7.4704
_cell_length_b 7.4704
_cell_length_c 7.4704
_cell_angle_alpha 90.00
_cell_angle_beta 90.00
_cell_angle_gamma 90.00
loop_
_atom_site_label
_atom_site_fract_x
_atom_site_fract_y
_atom_site_fract_z
Sr1 0.0000 0.0000 0.0000
Ca1 0.0000 0.0000 0.5000
Ag1 0.2500 0.2500 0.2500
Pd1 0.2500 0.2500 0.7500
```